Entry 1:
The following is a DFT calculation (PBE with a Hubbard U) of a relaxed Rb3LiCr2O8 crystal.

abc: 5.9464 5.9464 7.8229
angles: 90.00 90.00 120.00
Sites, in units of the cell vectors:
Rb 0.3333 0.6667 0.6765
Rb 0.6667 0.3333 0.3235
Rb 0.0000 0.0000 0.0000
Li 0.0000 0.0000 0.5000
Cr 0.3333 0.6667 0.2479
Cr 0.6667 0.3333 0.7521
O 0.3333 0.6667 0.0370
O 0.6667 0.3333 0.9630
O 0.1803 0.8197 0.3212
O 0.8197 0.1803 0.6788
O 0.1803 0.3605 0.3212
O 0.8197 0.6395 0.6788
O 0.6395 0.8197 0.3212
O 0.3605 0.1803 0.6788

The calculated total energy comes out at -82.8 eV per formula unit.



Entry 2:
The following is a DFT calculation (PBE with a Hubbard U) of a relaxed Rb2LiCrO4 crystal.

abc: 4.9145 6.4559 10.5224
angles: 84.90 76.50 67.63
Last column: magnetic moment on the atom in μB.
Sites, in units of the cell vectors:
Rb 0.1732 0.0000 0.6535  0.00
Rb 0.8268 0.0000 0.3465  0.00
Rb 0.5768 0.5000 0.8465  0.00
Rb 0.9232 0.5000 0.1535  0.00
Li 0.7500 0.5000 0.5000  0.00
Li 0.0000 0.0000 0.0000  0.00
Cr 0.2500 0.5000 0.5000  1.04
Cr 0.5000 0.0000 0.0000  1.04
O 0.3200 0.8310 0.0880  -0.01
O 0.2390 0.1690 0.9120  -0.01
O 0.8491 0.8310 0.9120  -0.01
O 0.5920 0.1690 0.0880  -0.01
O 0.4300 0.6690 0.4120  -0.01
O 0.5110 0.3310 0.5880  -0.01
O 0.9009 0.6690 0.5880  -0.01
O 0.1580 0.3310 0.4120  -0.01

The calculated total energy comes out at -44.4 eV per formula unit.



Entry 3:
The following is a DFT calculation (PBE with a Hubbard U) of a relaxed Li2CrRhO4 crystal.

abc: 3.0288 5.1651 5.1545
angles: 109.51 90.00 90.00
Last column: magnetic moment on the atom in μB.
Sites, in units of the cell vectors:
Li 0.5000 0.0000 0.5000  -0.01
Li 0.0000 0.5000 0.5000  0.00
Cr 0.5000 0.5000 0.0000  2.99
Rh 0.0000 0.0000 0.0000  0.04
O 0.5000 0.2481 0.2306  -0.01
O 0.5000 0.7519 0.7694  -0.01
O 0.0000 0.2678 0.7707  -0.03
O 0.0000 0.7322 0.2293  -0.03

The calculated total energy comes out at -51.6 eV per formula unit.



Entry 4:
The following is a DFT calculation (PBE with a Hubbard U) of a relaxed Li2CrRh2O6 crystal.

abc: 5.1396 5.1396 5.2652
angles: 100.47 100.47 117.50
Last column: magnetic moment on the atom in μB.
Sites, in units of the cell vectors:
Li 0.8263 0.1737 0.0000  0.00
Li 0.1737 0.8263 0.0000  0.00
Cr 0.0000 0.0000 0.5000  1.09
Rh 0.3417 0.6583 0.5000  0.34
Rh 0.6583 0.3417 0.5000  0.34
O 0.7760 0.7760 0.7308  0.06
O 0.0664 0.4078 0.7138  0.01
O 0.2240 0.2240 0.2692  0.06
O 0.4078 0.0664 0.7138  0.01
O 0.9336 0.5922 0.2862  0.01
O 0.5922 0.9336 0.2862  0.01

The calculated total energy comes out at -69.8 eV per formula unit.



Entry 5:
The following is a DFT calculation (PBE with a Hubbard U) of a relaxed Li2CrRuO6 crystal.

abc: 3.8024 5.4291 5.4291
angles: 90.00 90.00 90.00
Last column: magnetic moment on the atom in μB.
Sites, in units of the cell vectors:
Li 0.8883 0.5000 0.0000  0.00
Li 0.8883 0.0000 0.5000  0.00
Cr 0.6400 0.0000 0.0000  1.52
Ru 0.7077 0.5000 0.5000  -0.62
O 0.7257 0.2444 0.2444  -0.12
O 0.7257 0.2444 0.7556  -0.12
O 0.2129 0.5000 0.5000  0.05
O 0.2069 0.0000 0.0000  -0.24
O 0.7257 0.7556 0.7556  -0.12
O 0.7257 0.7556 0.2444  -0.12

The calculated total energy comes out at -63.0 eV per formula unit.



Entry 6:
The following is a DFT calculation (PBE with a Hubbard U) of a relaxed LiCrS2O8 crystal.

abc: 5.5007 5.5007 5.5007
angles: 105.96 105.96 116.75
Last column: magnetic moment on the atom in μB.
Sites, in units of the cell vectors:
Li 0.0000 0.0000 0.0000  0.00
Cr 0.2500 0.7500 0.5000  3.32
S 0.7500 0.2500 0.5000  0.01
S 0.5000 0.5000 0.0000  0.01
O 0.4135 0.0897 0.3238  -0.07
O 0.3421 0.5202 0.1780  -0.03
O 0.3421 0.1641 0.8220  -0.03
O 0.7659 0.0897 0.6762  -0.07
O 0.8359 0.6579 0.1780  -0.03
O 0.9103 0.2341 0.3238  -0.07
O 0.9103 0.5865 0.6762  -0.07
O 0.4798 0.6579 0.8220  -0.03

The calculated total energy comes out at -74.1 eV per formula unit.